Computed, not measured: an optimized crystal structure of La2CdMo at the GGA-PBEsol level of DFT.

a b c (Å): 3.5168 3.5168 8.2744
angles (deg): 90.00 90.00 90.00
Space group P4/mmm (No. 123)
Inequivalent atoms, fractional coordinates:
La (0.0000, 0.0000, 0.2158)
Cd (0.5000, 0.5000, 0.5000)
Mo (0.5000, 0.5000, 0.0000)

Calculated values
The density of states at the Fermi level comes out at 3.788 states/eV/f.u. Its total energy is -5.716 eV per atom. Its formation energy is 0.1982 eV/atom. Its calculated volume is 25.6 A^3/atom.

Computed, not measured: an optimized crystal structure of La2CdMo at the GGA-PBEsol level of DFT.

a b c (Å): 3.6983 3.6983 7.0838
angles (deg): 90.00 90.00 90.00
Space group P4mm (No. 99)
Inequivalent atoms, fractional coordinates:
La (0.0000, 0.0000, 0.0000)
La (0.5000, 0.5000, 0.3233)
Cd (0.5000, 0.5000, 0.7499)
Mo (0.0000, 0.0000, 0.5792)

Calculated values
The density of states at the Fermi level comes out at 3.708 states/eV/f.u. Its total energy is -5.574 eV per atom. Its formation energy is 0.3402 eV/atom. Its calculated volume is 24.2 A^3/atom.

Computed, not measured: an optimized crystal structure of LaCdMo at the GGA-PBEsol level of DFT.

a b c (Å): 5.1370 5.1370 2.8736
angles (deg): 90.00 90.00 120.00
Space group P3m1 (No. 156)
Inequivalent atoms, fractional coordinates:
La (0.0000, 0.0000, 0.0000)
Cd (0.3333, 0.6667, 0.4933)
Mo (0.6667, 0.3333, 0.5089)

Calculated values
The density of states at the Fermi level comes out at 4.045 states/eV/f.u. Its total energy is -5.584 eV per atom. Its formation energy is 0.5201 eV/atom. Its calculated volume is 21.9 A^3/atom.

Computed, not measured: an optimized crystal structure of LaCdMo2 at the GGA-PBEsol level of DFT.

a b c (Å): 6.0069 9.6272 2.8503
angles (deg): 90.00 111.82 90.00
Space group C2/m (No. 12)
Inequivalent atoms, fractional coordinates:
La (0.0000, 0.0000, 0.0000)
Cd (0.0000, 0.5000, 0.0000)
Mo (0.2500, 0.2500, 0.5000)

Calculated values
The density of states at the Fermi level comes out at 4.111 states/eV/f.u. Its total energy is -6.868 eV per atom. Its formation energy is 0.6519 eV/atom. Its calculated volume is 19.1 A^3/atom.

Computed, not measured: an optimized crystal structure of LaCdMo3 at the GGA-PBEsol level of DFT.

a b c (Å): 4.7326 4.7326 4.7326
angles (deg): 90.00 90.00 90.00
Space group Pm-3m (No. 221)
Inequivalent atoms, fractional coordinates:
La (0.0000, 0.0000, 0.0000)
Cd (0.5000, 0.5000, 0.5000)
Mo (0.0000, 0.0000, 0.5000)

Calculated values
The density of states at the Fermi level comes out at 7.491 states/eV/f.u. Its total energy is -6.229 eV per atom. Its formation energy is 2.1409 eV/atom. Its calculated volume is 21.2 A^3/atom.

Computed, not measured: an optimized crystal structure of La3CdN at the GGA-PBEsol level of DFT.

a b c (Å): 5.0589 5.0589 5.0589
angles (deg): 90.00 90.00 90.00
Space group Pm-3m (No. 221)
Inequivalent atoms, fractional coordinates:
La (0.0000, 0.0000, 0.5000)
Cd (0.5000, 0.5000, 0.5000)
N (0.0000, 0.0000, 0.0000)

Calculated values
For the uncorrected formation energy, the calculation gives -3.87 eV per formula unit. The density of states at the Fermi level comes out at 4.611 states/eV/f.u. Its total energy is -5.926 eV per atom. Its calculated volume is 25.9 A^3/atom.

Computed, not measured: an optimized crystal structure of La3CdN at the GGA-PBEsol level of DFT.

a b c (Å): 7.1403 7.1403 17.5244
angles (deg): 90.00 90.00 120.00
Space group R-3c (No. 167, hexagonal axes)
Inequivalent atoms, fractional coordinates:
La (0.0000, 0.4635, 0.2500)
Cd (0.0000, 0.0000, 0.2500)
N (0.0000, 0.0000, 0.0000)

Calculated values
For the uncorrected formation energy, the calculation gives -3.89 eV per formula unit. The density of states at the Fermi level comes out at 4.275 states/eV/f.u. Its total energy is -5.930 eV per atom. Its calculated volume is 25.8 A^3/atom.

Computed, not measured: an optimized crystal structure of LaCd2PtN at the GGA-PBEsol level of DFT.

a b c (Å): 6.4693 6.4693 5.1523
angles (deg): 90.00 90.00 90.00
Space group P4/mmm (No. 123)
Inequivalent atoms, fractional coordinates:
La (0.0000, 0.0000, 0.0000)
Cd (0.0000, 0.5000, 0.0000)
Pt (0.0000, 0.0000, 0.5000)
N (0.5000, 0.5000, 0.5000)

Calculated values
For the uncorrected formation energy, the calculation gives 8.33 eV per formula unit. The density of states at the Fermi level comes out at 3.304 states/eV/f.u. Its total energy is -2.979 eV per atom. Its calculated volume is 43.1 A^3/atom.

Computed, not measured: an optimized crystal structure of NaLaCdSi2 at the GGA-PBEsol level of DFT.

a b c (Å): 4.9240 4.9240 5.2029
angles (deg): 90.00 90.00 90.00
Space group P4/mmm (No. 123)
Inequivalent atoms, fractional coordinates:
Na (0.0000, 0.0000, 0.0000)
La (0.0000, 0.0000, 0.5000)
Cd (0.5000, 0.5000, 0.5000)
Si (0.0000, 0.5000, 0.0000)

Calculated values
For the uncorrected formation energy, the calculation gives 4.18 eV per formula unit. The density of states at the Fermi level comes out at 3.041 states/eV/f.u. Its total energy is -3.051 eV per atom. Its calculated volume is 25.2 A^3/atom.

Computed, not measured: an optimized crystal structure of La2CdNi at the GGA-PBEsol level of DFT.

a b c (Å): 3.5754 3.5754 7.7118
angles (deg): 90.00 90.00 90.00
Space group P4/mmm (No. 123)
Inequivalent atoms, fractional coordinates:
La (0.0000, 0.0000, 0.2099)
Cd (0.5000, 0.5000, 0.5000)
Ni (0.5000, 0.5000, 0.0000)

Calculated values
The density of states at the Fermi level comes out at 3.674 states/eV/f.u. Its total energy is -4.768 eV per atom. Its formation energy is -0.2558 eV/atom. Its calculated volume is 24.6 A^3/atom.

Computed, not measured: an optimized crystal structure of LaCd2Ni2 at the GGA-PBEsol level of DFT.

a b c (Å): 4.0561 4.0561 11.6186
angles (deg): 90.00 90.00 90.00
Space group I4/mmm (No. 139)
Inequivalent atoms, fractional coordinates:
La (0.0000, 0.0000, 0.0000)
Cd (0.0000, 0.5000, 0.2500)
Ni (0.0000, 0.0000, 0.4021)

Calculated values
The density of states at the Fermi level comes out at 3.284 states/eV/f.u. Its total energy is -4.222 eV per atom. Its formation energy is -0.2107 eV/atom. Its calculated volume is 19.1 A^3/atom.

Computed, not measured: an optimized crystal structure of La2CdNi at the GGA-PBEsol level of DFT.

a b c (Å): 3.5232 4.9238 11.0520
angles (deg): 90.00 90.00 90.00
Space group Imm2 (No. 44)
Inequivalent atoms, fractional coordinates:
La (0.0000, 0.0000, 0.0000)
La (0.0000, 0.5000, 0.1812)
Cd (0.0000, 0.0000, 0.3901)
Ni (0.0000, 0.5000, 0.7080)

Calculated values
The density of states at the Fermi level comes out at 4.318 states/eV/f.u. Its total energy is -4.695 eV per atom. Its formation energy is -0.1835 eV/atom. Its calculated volume is 24.0 A^3/atom.

Q: calculated volume of number 4 (LaCdMo2)?
A: 19.1 A^3/atom

Q: Which value of calculated volume does entry 2 give?
A: 24.2 A^3/atom

Q: Which value of calculated volume does entry 11 give?
A: 19.1 A^3/atom